## one
Density functional theory data (PBE) for a geometry-optimized ZrIn3Pt structure.

a b c (Å): 5.1006 5.1006 5.1006
angles (deg): 90.00 90.00 90.00
Fractional coordinates of all 5 atoms:
Zr (0.0000, 0.0000, 0.0000)
In (0.0000, 0.5000, 0.5000)
In (0.5000, 0.0000, 0.5000)
In (0.5000, 0.5000, 0.0000)
Pt (0.5000, 0.5000, 0.5000)

Calculated values
total magnetization = 0.0 Bohr magnetons per cell
DOS at the Fermi energy = 0.513 states/eV per atom


## two
Density functional theory data (PBE) for a geometry-optimized ZrIn3Pt structure.

a b c (Å): 5.4867 5.4867 5.4867
angles (deg): 90.00 90.00 90.00
Fractional coordinates of all 5 atoms:
Zr (0.0000, 0.0000, 0.0000)
In (0.0000, 0.0000, 0.5000)
In (0.0000, 0.5000, 0.0000)
In (0.5000, 0.0000, 0.0000)
Pt (0.5000, 0.5000, 0.5000)

Calculated values
total magnetization = 0.0 Bohr magnetons per cell
DOS at the Fermi energy = 0.814 states/eV per atom


Stability, lowest: two


## one
Density functional theory data (PBE) for a geometry-optimized PuIn4 structure.

a b c (Å): 5.9508 5.9508 5.9508
angles (deg): 90.00 90.00 90.00
Fractional coordinates of all 5 atoms:
Pu (0.0000, 0.0000, 0.0000)
In (0.0000, 0.0000, 0.5000)
In (0.0000, 0.5000, 0.0000)
In (0.5000, 0.0000, 0.0000)
In (0.5000, 0.5000, 0.5000)

Calculated values
total magnetization = 7.3 Bohr magnetons per cell
DOS at the Fermi energy = 3.070 states/eV per atom


## two
Density functional theory data (PBE) for a geometry-optimized PuIn4 structure.

a b c (Å): 8.8755 8.8755 8.8755
angles (deg): 147.94 136.15 55.35
Fractional coordinates of all 10 atoms:
Pu (0.3564, 0.1064, 0.2500)
Pu (0.6436, 0.8936, 0.7500)
In (0.0000, 0.5000, 0.5000)
In (0.1465, 0.8965, 0.2500)
In (0.1958, 0.6976, 0.4981)
In (0.3005, 0.3024, 0.9981)
In (0.5000, 0.5000, 0.0000)
In (0.6995, 0.6976, 0.0019)
In (0.8042, 0.3024, 0.5019)
In (0.8535, 0.1035, 0.7500)

Calculated values
total magnetization = 11.6 Bohr magnetons per cell
DOS at the Fermi energy = 2.454 states/eV per atom


Stability, lowest: one


## one
Density functional theory data (PBE) for a geometry-optimized PuInRh4 structure.

a b c (Å): 5.2898 5.2898 5.2898
angles (deg): 60.00 60.00 60.00
Fractional coordinates of all 6 atoms:
Pu (0.0000, 0.0000, 0.0000)
In (0.2500, 0.2500, 0.2500)
Rh (0.1270, 0.6243, 0.6243)
Rh (0.6243, 0.1270, 0.6243)
Rh (0.6243, 0.6243, 0.1270)
Rh (0.6243, 0.6243, 0.6243)

Calculated values
total magnetization = 4.1 Bohr magnetons per cell
DOS at the Fermi energy = 2.004 states/eV per atom


## two
Density functional theory data (PBE) for a geometry-optimized PuInRh4 structure.

a b c (Å): 6.6258 6.6258 7.7814
angles (deg): 90.00 90.00 143.71
Fractional coordinates of all 12 atoms:
Pu (0.1553, 0.8447, 0.7500)
Pu (0.8447, 0.1553, 0.2500)
In (0.1532, 0.8468, 0.2500)
In (0.8468, 0.1532, 0.7500)
Rh (0.0000, 0.0000, 0.0000)
Rh (0.0000, 0.0000, 0.5000)
Rh (0.3346, 0.6654, 0.0036)
Rh (0.3346, 0.6654, 0.4964)
Rh (0.4989, 0.5011, 0.7500)
Rh (0.5011, 0.4989, 0.2500)
Rh (0.6654, 0.3346, 0.5036)
Rh (0.6654, 0.3346, 0.9964)

Calculated values
total magnetization = 6.1 Bohr magnetons per cell
DOS at the Fermi energy = 2.123 states/eV per atom


Stability, lowest: two


## one
Density functional theory data (PBE) for a geometry-optimized PuScIn structure.

a b c (Å): 5.2385 5.2385 6.2196
angles (deg): 90.00 90.00 120.00
Fractional coordinates of all 6 atoms:
Pu (0.0000, 0.0000, 0.0000)
Pu (0.0000, 0.0000, 0.5000)
Sc (0.3333, 0.6667, 0.2500)
Sc (0.6667, 0.3333, 0.7500)
In (0.3333, 0.6667, 0.7500)
In (0.6667, 0.3333, 0.2500)

Calculated values
total magnetization = 12.0 Bohr magnetons per cell
DOS at the Fermi energy = 1.929 states/eV per atom


## two
Density functional theory data (PBE) for a geometry-optimized PuScIn structure.

a b c (Å): 5.1617 5.1617 3.2344
angles (deg): 90.00 90.00 120.00
Fractional coordinates of all 3 atoms:
Pu (0.0000, 0.0000, 0.0000)
Sc (0.6667, 0.3333, 0.4041)
In (0.3333, 0.6667, 0.6096)

Calculated values
total magnetization = 6.2 Bohr magnetons per cell
DOS at the Fermi energy = 1.880 states/eV per atom


## three
Density functional theory data (PBE) for a geometry-optimized PuScIn structure.

a b c (Å): 7.4696 7.4696 7.4696
angles (deg): 155.02 155.02 35.62
Fractional coordinates of all 3 atoms:
Pu (0.0000, 0.0000, 0.0000)
Sc (0.6784, 0.6784, 0.0000)
In (0.3288, 0.3288, 0.0000)

Calculated values
total magnetization = 5.6 Bohr magnetons per cell
DOS at the Fermi energy = 2.610 states/eV per atom


Stability, lowest: two


## one
Density functional theory data (PBE) for a geometry-optimized PuScTlIn structure.

a b c (Å): 5.2434 5.2434 5.2434
angles (deg): 60.00 60.00 60.00
Fractional coordinates of all 4 atoms:
Pu (0.0000, 0.0000, 0.0000)
Sc (0.5000, 0.5000, 0.5000)
Tl (0.7500, 0.7500, 0.7500)
In (0.2500, 0.2500, 0.2500)

Calculated values
total magnetization = 6.1 Bohr magnetons per cell
DOS at the Fermi energy = 2.553 states/eV per atom


## two
Density functional theory data (PBE) for a geometry-optimized PuScTlIn structure.

a b c (Å): 3.2514 3.2514 9.2732
angles (deg): 90.00 90.00 90.00
Fractional coordinates of all 4 atoms:
Pu (0.0000, 0.0000, 0.0000)
Sc (0.0000, 0.0000, 0.4957)
Tl (0.5000, 0.5000, 0.7335)
In (0.5000, 0.5000, 0.2627)

Calculated values
total magnetization = 6.1 Bohr magnetons per cell
DOS at the Fermi energy = 1.902 states/eV per atom


Stability, lowest: one


## one
Density functional theory data (PBE) for a geometry-optimized PuScZnIn structure.

a b c (Å): 5.0858 5.0858 5.0858
angles (deg): 60.00 60.00 60.00
Fractional coordinates of all 4 atoms:
Pu (0.0000, 0.0000, 0.0000)
Sc (0.5000, 0.5000, 0.5000)
Zn (0.2500, 0.2500, 0.2500)
In (0.7500, 0.7500, 0.7500)

Calculated values
total magnetization = 6.2 Bohr magnetons per cell
DOS at the Fermi energy = 1.913 states/eV per atom


## two
Density functional theory data (PBE) for a geometry-optimized PuScZnIn structure.

a b c (Å): 3.3552 3.3552 7.9876
angles (deg): 90.00 90.00 90.00
Fractional coordinates of all 4 atoms:
Pu (0.0000, 0.0000, 0.0000)
Sc (0.0000, 0.0000, 0.5462)
Zn (0.5000, 0.5000, 0.7472)
In (0.5000, 0.5000, 0.2936)

Calculated values
total magnetization = 5.6 Bohr magnetons per cell
DOS at the Fermi energy = 1.828 states/eV per atom


Stability, lowest: one


## one
Density functional theory data (PBE) for a geometry-optimized PuInSi2 structure.

a b c (Å): 5.3068 5.3068 5.3068
angles (deg): 50.63 50.63 50.63
Fractional coordinates of all 4 atoms:
Pu (0.0000, 0.0000, 0.0000)
In (0.5000, 0.5000, 0.5000)
Si (0.2264, 0.2264, 0.2264)
Si (0.7736, 0.7736, 0.7736)

Calculated values
total magnetization = 5.5 Bohr magnetons per cell
DOS at the Fermi energy = 2.130 states/eV per atom


## two
Density functional theory data (PBE) for a geometry-optimized PuInSi2 structure.

a b c (Å): 4.4231 4.4231 4.0030
angles (deg): 90.00 90.00 90.00
Fractional coordinates of all 4 atoms:
Pu (0.0000, 0.0000, 0.0000)
In (0.5000, 0.5000, 0.0000)
Si (0.0000, 0.5000, 0.5000)
Si (0.5000, 0.0000, 0.5000)

Calculated values
total magnetization = 5.1 Bohr magnetons per cell
DOS at the Fermi energy = 2.253 states/eV per atom


Stability, lowest: one


## one
Density functional theory data (PBE) for a geometry-optimized SmPu2In structure.

a b c (Å): 4.5927 4.5927 5.1698
angles (deg): 90.00 90.00 90.00
Fractional coordinates of all 4 atoms:
Sm (0.0000, 0.0000, 0.0000)
Pu (0.0000, 0.5000, 0.5000)
Pu (0.5000, 0.0000, 0.5000)
In (0.5000, 0.5000, 0.0000)

Calculated values
total magnetization = 12.0 Bohr magnetons per cell
DOS at the Fermi energy = 2.815 states/eV per atom


## two
Density functional theory data (PBE) for a geometry-optimized SmPu2In structure.

a b c (Å): 5.3943 5.3943 5.3943
angles (deg): 60.00 60.00 60.00
Fractional coordinates of all 4 atoms:
Sm (0.0000, 0.0000, 0.0000)
Pu (0.2500, 0.2500, 0.2500)
Pu (0.7500, 0.7500, 0.7500)
In (0.5000, 0.5000, 0.5000)

Calculated values
total magnetization = 13.5 Bohr magnetons per cell
DOS at the Fermi energy = 3.119 states/eV per atom


Stability, lowest: two


## one
Density functional theory data (PBE) for a geometry-optimized PuIn4Sn structure.

a b c (Å): 7.7983 7.7983 4.5430
angles (deg): 90.00 90.00 145.91
Fractional coordinates of all 6 atoms:
Pu (0.0000, 0.0000, 0.0000)
In (0.1689, 0.8311, 0.5000)
In (0.3349, 0.6651, 0.0000)
In (0.6651, 0.3349, 0.0000)
In (0.8311, 0.1689, 0.5000)
Sn (0.5000, 0.5000, 0.5000)

Calculated values
total magnetization = 5.7 Bohr magnetons per cell
DOS at the Fermi energy = 2.034 states/eV per atom


## two
Density functional theory data (PBE) for a geometry-optimized PuIn4Sn structure.

a b c (Å): 4.3931 4.3931 9.4501
angles (deg): 90.00 90.00 90.00
Fractional coordinates of all 6 atoms:
Pu (0.0000, 0.0000, 0.0000)
In (0.0000, 0.5000, 0.2617)
In (0.0000, 0.5000, 0.7383)
In (0.5000, 0.0000, 0.2617)
In (0.5000, 0.0000, 0.7383)
Sn (0.5000, 0.5000, 0.5000)

Calculated values
total magnetization = 6.1 Bohr magnetons per cell
DOS at the Fermi energy = 2.473 states/eV per atom


## three
Density functional theory data (PBE) for a geometry-optimized PuIn4Sn structure.

a b c (Å): 6.1175 6.1175 6.1175
angles (deg): 60.00 60.00 60.00
Fractional coordinates of all 6 atoms:
Pu (0.0000, 0.0000, 0.0000)
In (0.3751, 0.3751, 0.3751)
In (0.3751, 0.3751, 0.8748)
In (0.3751, 0.8748, 0.3751)
In (0.8748, 0.3751, 0.3751)
Sn (0.7500, 0.7500, 0.7500)

Calculated values
total magnetization = 6.3 Bohr magnetons per cell
DOS at the Fermi energy = 3.252 states/eV per atom


Stability, lowest: two


## one
Density functional theory data (PBE) for a geometry-optimized PuIn2Sn structure.

a b c (Å): 3.8743 3.8743 7.0419
angles (deg): 90.00 90.00 90.00
Fractional coordinates of all 4 atoms:
Pu (0.0000, 0.0000, 0.0000)
In (0.5000, 0.5000, 0.2718)
In (0.5000, 0.5000, 0.7282)
Sn (0.0000, 0.0000, 0.5000)

Calculated values
total magnetization = 6.1 Bohr magnetons per cell
DOS at the Fermi energy = 2.260 states/eV per atom


## two
Density functional theory data (PBE) for a geometry-optimized PuIn2Sn structure.

a b c (Å): 5.3380 5.3380 5.3380
angles (deg): 60.00 60.00 60.00
Fractional coordinates of all 4 atoms:
Pu (0.0000, 0.0000, 0.0000)
In (0.2500, 0.2500, 0.2500)
In (0.7500, 0.7500, 0.7500)
Sn (0.5000, 0.5000, 0.5000)

Calculated values
total magnetization = 5.8 Bohr magnetons per cell
DOS at the Fermi energy = 3.423 states/eV per atom


Stability, lowest: two


## one
Density functional theory data (PBE) for a geometry-optimized PuIn2Sn structure.

a b c (Å): 4.5885 4.5885 4.7895
angles (deg): 90.00 90.00 90.00
Fractional coordinates of all 4 atoms:
Pu (0.0000, 0.0000, 0.0000)
In (0.0000, 0.5000, 0.5000)
In (0.5000, 0.0000, 0.5000)
Sn (0.5000, 0.5000, 0.0000)

Calculated values
total magnetization = 5.7 Bohr magnetons per cell
DOS at the Fermi energy = 2.647 states/eV per atom


## two
Density functional theory data (PBE) for a geometry-optimized PuIn2Sn structure.

a b c (Å): 11.9031 11.9031 11.9031
angles (deg): 16.19 16.19 16.19
Fractional coordinates of all 4 atoms:
Pu (0.0000, 0.0000, 0.0000)
In (0.0913, 0.0913, 0.0913)
In (0.9087, 0.9087, 0.9087)
Sn (0.5000, 0.5000, 0.5000)

Calculated values
total magnetization = 6.2 Bohr magnetons per cell
DOS at the Fermi energy = 2.310 states/eV per atom


Stability, lowest: two


## one
Density functional theory data (PBE) for a geometry-optimized PuZnInSn structure.

a b c (Å): 4.4505 4.5075 4.6723
angles (deg): 90.00 90.00 90.00
Fractional coordinates of all 4 atoms:
Pu (0.0000, 0.0000, 0.0000)
Zn (0.5000, 0.0000, 0.5000)
In (0.0000, 0.5000, 0.5000)
Sn (0.5000, 0.5000, 0.0000)

Calculated values
total magnetization = 5.5 Bohr magnetons per cell
DOS at the Fermi energy = 2.841 states/eV per atom


## two
Density functional theory data (PBE) for a geometry-optimized PuZnInSn structure.

a b c (Å): 5.1396 5.1396 5.1396
angles (deg): 60.00 60.00 60.00
Fractional coordinates of all 4 atoms:
Pu (0.0000, 0.0000, 0.0000)
Zn (0.7500, 0.7500, 0.7500)
In (0.5000, 0.5000, 0.5000)
Sn (0.2500, 0.2500, 0.2500)

Calculated values
total magnetization = 5.6 Bohr magnetons per cell
DOS at the Fermi energy = 3.147 states/eV per atom


Stability, lowest: two


## one
Density functional theory data (PBE) for a geometry-optimized TbPuIn4 structure.

a b c (Å): 3.4717 5.0438 8.8111
angles (deg): 90.00 90.01 90.00
Fractional coordinates of all 6 atoms:
Tb (0.0000, 0.0000, 0.0000)
Pu (0.0000, 0.5000, 0.5000)
In (0.4972, 0.0000, 0.3319)
In (0.4980, 0.5000, 0.8351)
In (0.5020, 0.5000, 0.1649)
In (0.5028, 0.0000, 0.6681)

Calculated values
total magnetization = 6.0 Bohr magnetons per cell
DOS at the Fermi energy = 1.736 states/eV per atom


## two
Density functional theory data (PBE) for a geometry-optimized TbPuIn4 structure.

a b c (Å): 6.0287 6.0287 6.0287
angles (deg): 60.00 60.00 60.00
Fractional coordinates of all 6 atoms:
Tb (0.0000, 0.0000, 0.0000)
Pu (0.7500, 0.7500, 0.7500)
In (0.3750, 0.3750, 0.3750)
In (0.3750, 0.3750, 0.8749)
In (0.3750, 0.8749, 0.3750)
In (0.8749, 0.3750, 0.3750)

Calculated values
total magnetization = 6.5 Bohr magnetons per cell
DOS at the Fermi energy = 3.142 states/eV per atom


Stability, lowest: two